1.
3
Lattice="-0.324 -1.792 5.797 -4.866 1.418 3.351 -3.938 -4.333 1.625" Properties=species:S:1:pos:R:3 comment="PBE CsSrZn, relaxed" e_above_lowest_polymorph_mev_per_atom=0 pbc="T T T"
Sr 0.000 0.000 0.000
Zn -6.846 -3.530 8.079
Cs -2.282 -1.177 2.693

2.
4
Lattice="-1.188 -3.793 2.318 1.250 -0.493 4.400 -3.165 0.236 3.331" Properties=species:S:1:pos:R:3 comment="PBE TaBeCd2, relaxed" m_tot_mub_per_atom=0.10 pbc="T T T"
Be -1.551 -2.025 5.025
Cd -2.327 -3.037 7.537
Cd 0.000 0.000 0.000
Ta -0.776 -1.012 2.512

3.
12
Lattice="9.535 0.000 0.000 0.000 4.201 0.000 -3.964 0.000 9.829" Properties=species:S:1:pos:R:3 comment="PBE CsSmFeSe3, relaxed" m_tot_mub_per_atom=0.67 pbc="T T T"
Se 4.527 3.151 5.385
Se 1.043 1.050 4.444
Fe 3.129 1.050 5.780
Se 3.109 3.151 1.708
Se -3.016 1.050 8.379
Sm 1.074 1.050 1.430
Cs 5.941 1.050 2.597
Se 8.587 3.151 1.450
Se 2.462 1.050 8.121
Sm 4.497 3.151 8.400
Cs -0.370 3.151 7.232
Fe 2.442 3.151 4.049

4.
8
Lattice="3.415 0.000 0.000 -1.708 2.958 0.000 0.000 0.000 15.946" Properties=species:S:1:pos:R:3 comment="PBE TmScCdC, relaxed" m_tot_mub_per_atom=0.01 pbc="T T T"
Sc 1.708 0.986 9.177
Sc 0.000 1.972 6.770
Tm 1.708 0.986 14.597
Cd 0.000 1.972 11.793
C 0.000 0.000 0.000
Cd 1.708 0.986 4.153
C 0.000 0.000 7.973
Tm 0.000 1.972 1.349

5.
4
Lattice="-3.927 -0.968 2.207 -3.343 3.161 0.247 -3.899 -0.580 -2.384" Properties=species:S:1:pos:R:3 comment="PBE HfCdNiGe, relaxed" m_tot_mub_per_atom=0.00 pbc="T T T"
Ni -8.376 1.209 0.052
Hf -2.792 0.403 0.017
Ge 0.000 0.000 0.000
Cd -5.584 0.806 0.035

6.
4
Lattice="0.000 3.264 3.264 3.264 0.000 3.264 3.264 3.264 0.000" Properties=species:S:1:pos:R:3 comment="PBE LiHfFeBi, relaxed" m_tot_mub_per_atom=0.45 e_above_lowest_polymorph_mev_per_atom=525 pbc="T T T"
Hf 0.000 0.000 0.000
Bi 1.632 1.632 1.632
Li 4.897 4.897 4.897
Fe 3.264 3.264 3.264

7.
8
Lattice="-3.703 -1.308 1.450 -0.536 7.000 4.944 -2.355 8.149 1.336" Properties=species:S:1:pos:R:3 comment="PBE TbPrCo2Ge4, relaxed" m_tot_mub_per_atom=0.00 pbc="T T T"
Co -0.523 2.742 1.137
Tb -3.614 8.583 4.554
Ge -4.615 13.828 6.728
Ge -2.569 3.108 2.284
Ge -2.166 11.349 4.705
Ge -0.133 0.698 0.289
Pr -1.133 5.938 2.462
Co -4.216 11.738 5.862

8.
3
Lattice="0.000 3.544 3.544 3.544 0.000 3.544 3.544 3.544 0.000" Properties=species:S:1:pos:R:3 comment="PBE SrScAu, relaxed" m_tot_mub_per_atom=0.00 e_above_lowest_polymorph_mev_per_atom=0 pbc="T T T"
Au 0.000 0.000 0.000
Sr 5.316 5.316 5.316
Sc 1.772 1.772 1.772

9.
14
Lattice="5.490 0.000 0.000 -2.745 4.754 0.000 -2.745 1.585 4.799" Properties=species:S:1:pos:R:3 comment="PBE Li7ReO6, relaxed" m_tot_mub_per_atom=0.14 pbc="T T T"
O -1.793 3.412 1.154
O -1.141 1.553 3.614
Li 1.013 4.496 3.157
Re 2.745 1.585 4.784
Li 1.919 2.874 1.612
Li -0.704 4.979 1.612
Li 0.000 3.169 0.147
O 1.106 4.601 1.154
O 0.686 1.496 1.154
Li -1.215 1.655 1.612
Li 0.643 1.630 3.158
Li -1.655 3.383 3.157
O -0.829 4.966 3.614
O 1.970 2.989 3.614

10.
3
Lattice="-1.563 0.436 5.056 -4.780 2.013 1.137 -3.833 -3.159 1.876" Properties=species:S:1:pos:R:3 comment="PBE BaNbHg, relaxed" m_tot_mub_per_atom=1.35 e_above_lowest_polymorph_mev_per_atom=0 pbc="T T T"
Nb -7.632 -0.533 6.051
Hg 0.000 0.000 0.000
Ba -2.544 -0.178 2.017

11.
8
Lattice="-6.904 0.373 3.573 -5.932 5.016 0.473 5.194 -3.932 -4.259" Properties=species:S:1:pos:R:3 comment="PBE HfAl5Ni2, relaxed" m_tot_mub_per_atom=0.00 pbc="T T T"
Al -4.902 2.446 -0.464
Ni -3.083 1.295 0.972
Al -2.253 1.334 -1.299
Ni -9.752 4.095 3.074
Al -5.389 0.125 1.086
Hf 0.000 0.000 0.000
Al -2.740 -0.988 0.251
Al -6.418 2.695 2.023

12.
22
Lattice="2.195 -7.710 0.000 2.195 7.710 0.000 0.000 0.000 18.268" Properties=species:S:1:pos:R:3 comment="PBE RbTb2Cu3Te5, relaxed" m_tot_mub_per_atom=0.00 pbc="T T T"
Te 2.195 0.856 11.329
Cu 2.195 2.496 13.701
Tb 2.195 4.749 1.659
Te 2.195 -5.225 7.785
Te 2.195 3.830 4.567
Te 2.195 -3.830 13.701
Te 2.195 -5.225 1.349
Cu 2.195 1.327 8.739
Te 2.195 0.856 16.074
Te 2.195 -0.856 2.194
Cu 2.195 -1.327 17.873
Cu 2.195 1.327 0.395
Te 2.195 5.225 10.483
Tb 2.195 -4.749 16.609
Te 2.195 5.225 16.919
Rb 2.195 -6.853 4.567
Tb 2.195 4.749 7.475
Cu 2.195 -1.327 9.529
Tb 2.195 -4.749 10.793
Rb 2.195 6.853 13.701
Te 2.195 -0.856 6.940
Cu 2.195 -2.496 4.567

no.,E (eV/atom)
1,-0.778
2,-3.685
3,-5.272
4,-5.604
5,-5.248
6,-5.627
7,-5.913
8,-3.991
9,-5.752
10,-3.223
11,-5.529
12,-4.215